First-principles (GGA-PBE) data for a relaxed structure of TbNd14Th, as listed in the Alexandria database.

Output
The formation energy from the elements comes out at 0.0228 eV per atom. Its calculated density is 7.2 g/cm³. The value obtained for the total energy is -4.902 eV per atom. For the calculated volume, the calculation gives 34.9 A^3/atom. For the size of the total moment, the calculation gives 0.000 μB per atom.

Structure (CIF):
```
data_TbNd14Th
_symmetry_space_group_name_H-M 'P 1'
_symmetry_Int_Tables_number 1
_cell_length_a 7.3248
_cell_length_b 7.3248
_cell_length_c 10.4158
_cell_angle_alpha 90.00
_cell_angle_beta 90.00
_cell_angle_gamma 90.00
loop_
_symmetry_equiv_pos_as_xyz
'x,y,z'
loop_
_atom_site_label
_atom_site_fract_x
_atom_site_fract_y
_atom_site_fract_z
Tb1 0.3748 0.6252 0.0000
Nd1 0.8747 0.6247 0.0000
Nd2 0.1228 0.3728 0.7534
Nd3 0.1228 0.3728 0.2466
Nd4 0.6272 0.8772 0.7534
Nd5 0.8750 0.1250 0.5000
Nd6 0.8751 0.6251 0.5000
Nd7 0.3753 0.1253 0.0000
Nd8 0.1226 0.8774 0.2466
Nd9 0.6273 0.3727 0.2468
Nd10 0.1226 0.8774 0.7534
Nd11 0.6272 0.8772 0.2466
Nd12 0.3750 0.6250 0.5000
Nd13 0.6273 0.3727 0.7532
Nd14 0.3749 0.1249 0.5000
Th1 0.8751 0.1249 0.0000
```



First-principles (GGA-PBE) data for a relaxed structure of PuPPt2, as listed in the Alexandria database.

Output
The formation energy from the elements comes out at -0.3817 eV per atom. Its calculated density is 14.6 g/cm³. The value obtained for the total energy is -8.338 eV per atom. For the calculated volume, the calculation gives 18.9 A^3/atom. For the size of the total moment, the calculation gives 1.217 μB per atom.

Structure (CIF):
```
data_PuPPt2
_symmetry_space_group_name_H-M 'P 1'
_symmetry_Int_Tables_number 1
_cell_length_a 4.9954
_cell_length_b 4.9954
_cell_length_c 4.5365
_cell_angle_alpha 56.59
_cell_angle_beta 56.59
_cell_angle_gamma 60.00
loop_
_symmetry_equiv_pos_as_xyz
'x,y,z'
loop_
_atom_site_label
_atom_site_fract_x
_atom_site_fract_y
_atom_site_fract_z
Pt1 0.2227 0.2227 0.3320
Pt2 0.7773 0.7773 0.6680
P1 0.0000 0.0000 0.0000
Pu1 0.5000 0.5000 0.5000
```



First-principles (GGA-PBE) data for a relaxed structure of Na2CdAg, as listed in the Alexandria database.

Output
The formation energy from the elements comes out at 0.0318 eV per atom. Its calculated density is 4.6 g/cm³. The value obtained for the total energy is -1.569 eV per atom. For the calculated volume, the calculation gives 23.9 A^3/atom. For the size of the total moment, the calculation gives 0.000 μB per atom.

Structure (CIF):
```
data_Na2CdAg
_symmetry_space_group_name_H-M 'P 1'
_symmetry_Int_Tables_number 1
_cell_length_a 3.2574
_cell_length_b 3.2574
_cell_length_c 10.5574
_cell_angle_alpha 81.13
_cell_angle_beta 81.13
_cell_angle_gamma 60.00
loop_
_symmetry_equiv_pos_as_xyz
'x,y,z'
loop_
_atom_site_label
_atom_site_fract_x
_atom_site_fract_y
_atom_site_fract_z
Ag1 0.6666 0.6666 0.0002
Na1 0.0783 0.0783 0.7650
Na2 0.2550 0.2550 0.2350
Cd1 0.5001 0.5001 0.4998
```